Below is TbPrTh after structural relaxation, with properties calculated at the PBE level.

a = 4.9719 Å, b = 4.9719 Å, c = 8.6148 Å
α = 90.00°, β = 90.00°, γ = 90.00°
Closest atoms and distances in Å follow each position.
Space group P4/nmm (No. 129, origin choice 2)
Inequivalent atoms, fractional coordinates:
Tb (0.2500, 0.2500, 0.2126) (multiplicity 2)  4 Th 3.51, 5 Pr 3.52-3.61
Pr (0.2500, 0.2500, 0.7939) (multiplicity 2)  5 Tb 3.52-3.61, 4 Th 3.55
Th (0.2500, 0.7500, 0.5000) (multiplicity 2)  4 Tb 3.51, 4 Th 3.52, 4 Pr 3.55

Computed properties:
Energy relative to the elements = 0.19 eV per atom
Calculated volume = 35.5 Å³ per atom
Excess energy over the best structure of this formula in the dataset = 15.9 kJ per mole of atoms